Entry 1:
## Ta2PH (PBE-GGA)

Data for crystalline Ta2PH at its relaxed geometry.

V ... 13.032 Å³/atom
Symmetry ... Pm
DFT total energy ... -68.692 eV/cell
Spin magnetization ... 0.0 Bohr magnetons per cell

Cell and atoms, written as POSCAR:
```
Ta2PH
1.0
4.904 0.000 0.000
0.000 3.353 0.000
-0.123 0.000 6.341
Ta P H
4 2 2
Direct
0.000 0.000 0.000
0.243 0.000 0.515
0.487 0.500 0.169
0.749 0.500 0.646
0.498 0.000 0.865
0.963 0.500 0.299
0.148 0.500 0.673
0.175 0.500 0.954
```

Entry 2:
## Ta2PH (PBE-GGA)

Data for crystalline Ta2PH at its relaxed geometry.

V ... 13.161 Å³/atom
Symmetry ... Amm2
DFT total energy ... -68.901 eV/cell
Spin magnetization ... 0.0 Bohr magnetons per cell

Cell and atoms, written as POSCAR:
```
Ta2PH
1.0
3.378 0.000 0.000
0.000 3.360 0.000
0.000 0.000 9.276
Ta P H
4 2 2
Direct
0.000 0.000 0.000
0.000 0.500 0.500
0.500 0.000 0.304
0.500 0.500 0.804
0.500 0.000 0.596
0.500 0.500 0.096
0.000 0.000 0.207
0.000 0.500 0.707
```

Entry 3:
## Ta2PH (PBE-GGA)

Data for crystalline Ta2PH at its relaxed geometry.

V ... 13.140 Å³/atom
Symmetry ... Pm
DFT total energy ... -68.781 eV/cell
Spin magnetization ... 0.0 Bohr magnetons per cell

Cell and atoms, written as POSCAR:
```
Ta2PH
1.0
4.907 0.000 0.000
0.000 3.419 0.000
-2.225 0.000 6.265
Ta P H
4 2 2
Direct
0.000 0.000 0.000
0.004 0.000 0.496
0.391 0.500 0.340
0.412 0.500 0.857
0.573 0.000 0.637
0.809 0.500 0.203
0.042 0.275 0.758
0.042 0.725 0.758
```

Entry 4:
## Ta2PH (PBE-GGA)

Data for crystalline Ta2PH at its relaxed geometry.

V ... 13.049 Å³/atom
Symmetry ... Cm
DFT total energy ... -138.153 eV/cell
Spin magnetization ... 0.0 Bohr magnetons per cell

Cell and atoms, written as POSCAR:
```
Ta2PH
1.0
6.760 0.000 0.000
0.000 6.690 0.000
-1.701 0.000 4.617
Ta P H
8 4 4
Direct
0.000 0.000 0.000
0.005 0.500 0.998
0.153 0.244 0.603
0.153 0.756 0.603
0.500 0.500 0.000
0.505 0.000 0.998
0.653 0.256 0.603
0.653 0.744 0.603
0.301 0.246 0.193
0.301 0.754 0.193
0.801 0.254 0.193
0.801 0.746 0.193
0.122 0.500 0.414
0.490 0.500 0.607
0.622 0.000 0.414
0.990 0.000 0.607
```

Entry 5:
## TaPH3 (PBE-GGA)

Data for crystalline TaPH3 at its relaxed geometry.

V ... 7.720 Å³/atom
Symmetry ... Pm-3m
DFT total energy ... -23.267 eV/cell
Spin magnetization ... 0.0 Bohr magnetons per cell

Cell and atoms, written as POSCAR:
```
TaPH3
1.0
3.380 0.000 0.000
0.000 3.380 0.000
0.000 0.000 3.380
Ta P H
1 1 3
Direct
0.000 0.000 0.000
0.500 0.500 0.500
0.000 0.500 0.500
0.500 0.000 0.500
0.500 0.500 0.000
```

Entry 6:
## TaP2H (PBE-GGA)

Data for crystalline TaP2H at its relaxed geometry.

V ... 13.596 Å³/atom
Symmetry ... Fm-3m
DFT total energy ... -97.016 eV/cell
Spin magnetization ... 0.0 Bohr magnetons per cell

Cell and atoms, written as POSCAR:
```
TaP2H
1.0
6.014 0.000 0.000
0.000 6.014 0.000
0.000 0.000 6.014
Ta P H
4 8 4
Direct
0.000 0.000 0.000
0.000 0.500 0.500
0.500 0.000 0.500
0.500 0.500 0.000
0.250 0.250 0.250
0.250 0.250 0.750
0.250 0.750 0.250
0.250 0.750 0.750
0.750 0.250 0.250
0.750 0.250 0.750
0.750 0.750 0.250
0.750 0.750 0.750
0.000 0.000 0.500
0.000 0.500 0.000
0.500 0.000 0.000
0.500 0.500 0.500
```